# 1
VASP calculation (PBE-GGA) on a geometry-optimized Li2YAgF structure.

The value obtained for the uncorrected formation energy is -26.01 kcal/mol of atoms.

The structure belongs to space group P4/mmm (No. 123); the cell edges are 4.172, 4.172 and 4.982 Å and the angles 90.00°, 90.00° and 90.00°. The asymmetric unit holds Li at (0.000, 0.500, 0.000), Y at (0.000, 0.000, 0.500), Ag at (0.500, 0.500, 0.500) and F at (0.000, 0.000, 0.000).

# 2
VASP calculation (PBE-GGA) on a geometry-optimized LiYAg2F6 structure.

The value obtained for the uncorrected formation energy is -59.47 kcal/mol of atoms.

The structure belongs to space group P2_1/c (No. 14); the cell edges are 5.756, 5.924 and 10.048 Å and the angles 90.00°, 123.63° and 90.00°. The asymmetric unit holds Li at (0.000, 0.000, 0.000), Y at (0.500, 0.000, 0.500), Ag at (0.231, 0.051, 0.750), F at (0.147, 0.215, 0.447), F at (0.228, 0.704, 0.441) and F at (0.355, 0.036, 0.246).

# 3
VASP calculation (PBE-GGA) on a geometry-optimized LiZn2AgF6 structure.

The value obtained for the uncorrected formation energy is -49.20 kcal/mol of atoms.

The structure belongs to space group C2/c (No. 15); the cell edges are 9.732, 11.147 and 6.234 Å and the angles 90.00°, 113.23° and 90.00°. The asymmetric unit holds Li at (0.000, 0.182, 0.250), Zn at (0.147, 0.413, 0.671), Ag at (0.000, 0.107, 0.750), F at (0.094, 0.255, 0.545), F at (0.110, 0.446, 0.960) and F at (0.135, 0.077, 0.189).

# 4
VASP calculation (PBE-GGA) on a geometry-optimized LiZnAgF6 structure.

The value obtained for the uncorrected formation energy is -43.07 kcal/mol of atoms.

The structure belongs to space group P4_2nm (No. 102); the cell edges are 4.833, 4.833 and 9.632 Å and the angles 90.00°, 90.00° and 90.00°. The asymmetric unit holds Li at (0.000, 0.000, 0.000), Zn at (0.000, 0.000, 0.668), Ag at (0.000, 0.000, 0.333), F at (0.189, 0.189, 0.832), F at (0.196, 0.196, 0.505) and F at (0.200, 0.200, 0.163).

# 5
VASP calculation (PBE-GGA) on a geometry-optimized Li2ZnAgF6 structure.

The value obtained for the uncorrected formation energy is -50.37 kcal/mol of atoms.

The structure belongs to space group P1 (No. 1); the cell edges are 5.237, 5.385 and 5.550 Å and the angles 64.88°, 89.66° and 61.62°. The asymmetric unit holds Li at (0.000, 0.000, 0.000), Li at (0.473, 0.976, 0.514), Zn at (0.263, 0.433, 0.878), Ag at (0.758, 0.433, 0.368), F at (0.024, 0.595, 0.138), F at (0.208, 0.872, 0.719), F at (0.312, 0.010, 0.163), F at (0.519, 0.250, 0.642), F at (0.674, 0.236, 0.138) and F at (0.862, 0.565, 0.655).

# 6
VASP calculation (PBE-GGA) on a geometry-optimized LiZrAgF6 structure.

The value obtained for the uncorrected formation energy is -67.55 kcal/mol of atoms.

The structure belongs to space group P-31c (No. 163); the cell edges are 5.4909, 5.4909 and 10.4418 Å and the angles 90.00°, 90.00° and 120.00°. The asymmetric unit holds Li at (0.3333, 0.6667, 0.2500), Zr at (0.3333, 0.6667, 0.7500), Ag at (0.0000, 0.0000, 0.0000) and F at (0.0047, 0.3725, 0.6434).

# 7
VASP calculation (PBE-GGA) on a geometry-optimized Mg5Ag3F12 structure.

The value obtained for the uncorrected formation energy is -61.51 kcal/mol of atoms.

The structure belongs to space group Ia-3d (No. 230); the cell edges are 13.215, 13.215 and 13.215 Å and the angles 90.00°, 90.00° and 90.00°. The asymmetric unit holds Mg at (0.000, 0.000, 0.000), Mg at (0.000, 0.250, 0.375), Ag at (0.000, 0.250, 0.125) and F at (0.037, 0.041, 0.643).

# 8
VASP calculation (PBE-GGA) on a geometry-optimized MgAgF3 structure.

The value obtained for the uncorrected formation energy is -58.04 kcal/mol of atoms.

The structure belongs to space group Pnma (No. 62); the cell edges are 5.611, 7.990 and 5.602 Å and the angles 90.00°, 90.00° and 90.00°. The asymmetric unit holds Mg at (0.000, 0.000, 0.000), Ag at (0.017, 0.250, 0.500), F at (0.011, 0.750, 0.046) and F at (0.205, 0.523, 0.704).

# 9
VASP calculation (PBE-GGA) on a geometry-optimized MgAgF structure.

The value obtained for the uncorrected formation energy is -34.05 kcal/mol of atoms.

The structure belongs to space group Amm2 (No. 38); the cell edges are 14.179, 2.992 and 5.183 Å and the angles 90.00°, 90.00° and 90.00°. The asymmetric unit holds Mg at (0.000, 0.000, 0.000), Mg at (0.500, 0.000, 0.129), Ag at (0.164, 0.000, 0.335) and F at (0.420, 0.000, 0.796).

# 10
VASP calculation (PBE-GGA) on a geometry-optimized MgAg2F8 structure.

The value obtained for the uncorrected formation energy is -33.87 kcal/mol of atoms.

The structure belongs to space group P-3 (No. 147); the cell edges are 6.5948, 6.5948 and 4.1942 Å and the angles 90.00°, 90.00° and 120.00°. The asymmetric unit holds Mg at (0.0000, 0.0000, 0.0000), Ag at (0.3333, 0.6667, 0.2424), F at (0.1488, 0.8491, 0.2538) and F at (0.3333, 0.6667, 0.7441).

# 11
VASP calculation (PBE-GGA) on a geometry-optimized Mg3Ag5F12 structure.

For the offset from the most stable computed form, the calculation gives 0.000 eV/f.u. The value obtained for the uncorrected formation energy is -49.23 kcal/mol of atoms.

The structure belongs to space group P-62m (No. 189); the cell edges are 9.9590, 9.9590 and 3.1462 Å and the angles 90.00°, 90.00° and 120.00°. The asymmetric unit holds Mg at (0.0000, 0.6580, 0.0000), Ag at (0.0000, 0.2752, 0.5000), Ag at (0.3333, 0.6667, 0.5000), F at (0.0000, 0.5332, 0.5000), F at (0.0000, 0.7947, 0.5000) and F at (0.2125, 0.4444, 0.0000).

# 12
VASP calculation (PBE-GGA) on a geometry-optimized MgAgF3 structure.

The value obtained for the uncorrected formation energy is -57.70 kcal/mol of atoms.

The structure belongs to space group Pm-3m (No. 221); the cell edges are 3.983, 3.983 and 3.983 Å and the angles 90.00°, 90.00° and 90.00°. The asymmetric unit holds Mg at (0.000, 0.000, 0.000), Ag at (0.500, 0.500, 0.500) and F at (0.000, 0.000, 0.500).

# 13
VASP calculation (PBE-GGA) on a geometry-optimized Mg2AgF structure.

For the offset from the most stable computed form, the calculation gives 0.000 eV/f.u. The value obtained for the uncorrected formation energy is -25.91 kcal/mol of atoms.

The structure belongs to space group I-42d (No. 122); the cell edges are 6.324, 6.324 and 6.990 Å and the angles 90.00°, 90.00° and 90.00°. The asymmetric unit holds Mg at (0.174, 0.250, 0.125), Ag at (0.000, 0.000, 0.500) and F at (0.000, 0.000, 0.000).

# 14
VASP calculation (PBE-GGA) on a geometry-optimized Mg2Ag2F7 structure.

The value obtained for the uncorrected formation energy is -55.75 kcal/mol of atoms.

The structure belongs to space group Fd-3m (No. 227, origin choice 2); the cell edges are 10.440, 10.440 and 10.440 Å and the angles 90.00°, 90.00° and 90.00°. The asymmetric unit holds Mg at (0.000, 0.000, 0.000), Ag at (0.000, 0.000, 0.500), F at (0.075, 0.375, 0.375) and F at (0.125, 0.125, 0.625).

# 15
VASP calculation (PBE-GGA) on a geometry-optimized MgAg4F6 structure.

The value obtained for the uncorrected formation energy is -37.08 kcal/mol of atoms.

The structure belongs to space group P4/mnc (No. 128); the cell edges are 6.676, 6.676 and 7.362 Å and the angles 90.00°, 90.00° and 90.00°. The asymmetric unit holds Mg at (0.000, 0.000, 0.000), Ag at (0.153, 0.347, 0.250), F at (0.000, 0.000, 0.269) and F at (0.090, 0.712, 0.000).

# 16
VASP calculation (PBE-GGA) on a geometry-optimized MgAg6F8 structure.

The value obtained for the uncorrected formation energy is -33.66 kcal/mol of atoms.

The structure belongs to space group R-3 (No. 148, hexagonal axes); the cell edges are 7.2355, 7.2355 and 14.3431 Å and the angles 90.00°, 90.00° and 120.00°. The asymmetric unit holds Mg at (0.0000, 0.0000, 0.0000), Ag at (0.0033, 0.5764, 0.9052), F at (0.0000, 0.0000, 0.3600) and F at (0.0394, 0.2446, 0.9190).